# 1
Here is a relaxed LaHgSb crystal from Alexandria via LeMat-Bulk. Energies are from PBE.

Unit cell a=4.332 b=4.332 c=5.703 alpha=112.33 beta=112.33 gamma=90.00
Fractional coordinates of all 3 atoms:
1 Sb 0.958 0.958 0.917
2 Hg 0.284 0.284 0.567
3 La 0.608 0.608 0.216

Output
Crystal system = tetragonal
Formation energy (no corrections) = -0.6402 eV/atom

# 2
Here is a relaxed SrOsRu crystal from Alexandria via LeMat-Bulk. Energies are from PBE.

Unit cell a=7.520 b=4.400 c=7.773 alpha=90.00 beta=90.00 gamma=90.00
Fractional coordinates of all 12 atoms:
1 Ru 0.841 0.250 0.422
2 Ru 0.659 0.750 0.922
3 Ru 0.159 0.750 0.578
4 Ru 0.341 0.250 0.078
5 Os 0.160 0.250 0.423
6 Os 0.340 0.750 0.923
7 Os 0.840 0.750 0.577
8 Os 0.660 0.250 0.077
9 Sr 0.000 0.250 0.823
10 Sr 0.500 0.750 0.323
11 Sr 0.000 0.750 0.177
12 Sr 0.500 0.250 0.677

Output
E_form = 0.3228 eV/atom
Crystal system = orthorhombic

For each record above, in turn, the calculated offset from the most stable computed form values are 129.0; 67.0 meV per atom.
For each record above, in turn, the calculated D(E_F) values are 0.84; 7.10 states/eV/cell.